(1)
VASP calculation (PBE-GGA) on a geometry-optimized PmHo2TmSc4 structure. Values from VASP.

Structure (Quantum ESPRESSO input):
```
&SYSTEM
  ibrav = 0, nat = 16, ntyp = 4
/
ATOMIC_SPECIES
Pm 145.00 Pm.upf
Ho 164.93 Ho.upf
Tm 168.93 Tm.upf
Sc 44.96 Sc.upf
ATOMIC_POSITIONS crystal
Pm 0.000 0.500 0.000
Pm 0.500 0.000 0.500
Ho 0.000 0.000 0.000
Ho 0.000 0.000 0.500
Ho 0.000 0.500 0.500
Ho 0.500 0.000 0.000
Tm 0.500 0.500 0.000
Tm 0.500 0.500 0.500
Sc 0.250 0.252 0.500
Sc 0.251 0.749 0.501
Sc 0.251 0.749 0.999
Sc 0.252 0.250 0.000
Sc 0.748 0.750 0.000
Sc 0.749 0.251 0.001
Sc 0.749 0.251 0.499
Sc 0.750 0.748 0.500
CELL_PARAMETERS angstrom
6.503 -6.325 0.000
6.503 6.325 0.000
-3.260 0.000 5.637
```

Values from the calculation:
Formation enthalpy at 0 K ... 3.5 eV/f.u.
DOS(E_F) ... 2.1123 states/eV per atom
Electronic total energy ... -40.18 eV/f.u.

(2)
VASP calculation (PBE-GGA) on a geometry-optimized Pm2Ho2TmSc structure. Values from VASP.

Structure (Quantum ESPRESSO input):
```
&SYSTEM
  ibrav = 0, nat = 12, ntyp = 4
/
ATOMIC_SPECIES
Pm 145.00 Pm.upf
Ho 164.93 Ho.upf
Tm 168.93 Tm.upf
Sc 44.96 Sc.upf
ATOMIC_POSITIONS crystal
Pm 0.000 0.000 0.000
Pm 0.250 0.500 0.185
Pm 0.500 0.000 0.000
Pm 0.750 0.500 0.815
Ho 0.250 0.000 0.333
Ho 0.250 0.500 0.835
Ho 0.750 0.000 0.667
Ho 0.750 0.500 0.165
Tm 0.250 0.000 0.654
Tm 0.750 0.000 0.346
Sc 0.000 0.500 0.500
Sc 0.500 0.500 0.500
CELL_PARAMETERS angstrom
6.843 0.000 0.000
0.000 5.564 0.000
0.000 0.000 9.639
```

Values from the calculation:
Formation enthalpy at 0 K ... 0.6 eV/f.u.
DOS(E_F) ... 1.5596 states/eV per atom
Electronic total energy ... -28.88 eV/f.u.

(3)
VASP calculation (PBE-GGA) on a geometry-optimized PmHoTm2Sc5 structure. Values from VASP.

Structure (Quantum ESPRESSO input):
```
&SYSTEM
  ibrav = 0, nat = 18, ntyp = 4
/
ATOMIC_SPECIES
Pm 145.00 Pm.upf
Ho 164.93 Ho.upf
Tm 168.93 Tm.upf
Sc 44.96 Sc.upf
ATOMIC_POSITIONS crystal
Pm 0.080 0.920 0.500
Pm 0.920 0.080 0.000
Ho 0.294 0.706 0.059
Ho 0.706 0.294 0.559
Tm 0.388 0.612 0.369
Tm 0.389 0.611 0.773
Tm 0.611 0.389 0.273
Tm 0.612 0.388 0.869
Sc 0.022 0.978 0.779
Sc 0.106 0.894 0.067
Sc 0.201 0.799 0.760
Sc 0.216 0.784 0.354
Sc 0.480 0.520 0.075
Sc 0.520 0.480 0.575
Sc 0.784 0.216 0.854
Sc 0.799 0.201 0.260
Sc 0.894 0.106 0.567
Sc 0.978 0.022 0.279
CELL_PARAMETERS angstrom
2.662 -9.313 0.000
2.662 9.313 0.000
0.000 0.000 10.163
```

Values from the calculation:
Formation enthalpy at 0 K ... 1.6 eV/f.u.
DOS(E_F) ... 1.8356 states/eV per atom
Electronic total energy ... -48.35 eV/f.u.

(4)
VASP calculation (PBE-GGA) on a geometry-optimized Pm2HoTm5Sc structure. Values from VASP.

Structure (Quantum ESPRESSO input):
```
&SYSTEM
  ibrav = 0, nat = 18, ntyp = 4
/
ATOMIC_SPECIES
Pm 145.00 Pm.upf
Ho 164.93 Ho.upf
Tm 168.93 Tm.upf
Sc 44.96 Sc.upf
ATOMIC_POSITIONS crystal
Pm 0.119 0.619 0.738
Pm 0.381 0.119 0.500
Pm 0.619 0.881 0.500
Pm 0.881 0.381 0.262
Ho 0.250 0.250 0.000
Ho 0.750 0.750 0.000
Tm 0.000 0.000 0.000
Tm 0.067 0.148 0.500
Tm 0.148 0.648 0.081
Tm 0.352 0.433 0.500
Tm 0.433 0.933 0.081
Tm 0.500 0.500 0.000
Tm 0.567 0.067 0.919
Tm 0.648 0.567 0.500
Tm 0.852 0.352 0.919
Tm 0.933 0.852 0.500
Sc 0.250 0.750 0.500
Sc 0.750 0.250 0.500
CELL_PARAMETERS angstrom
-4.225 4.225 7.725
4.225 -4.225 7.725
4.225 4.225 -7.725
```

Values from the calculation:
Formation enthalpy at 0 K ... 2.5 eV/f.u.
DOS(E_F) ... 1.2711 states/eV per atom
Electronic total energy ... -40.26 eV/f.u.